The following is a DFT calculation (GGA-PBE) of a geometry-optimized LiMgCu14 structure.

E_form	-0.004	eV per atom
energy	-3.807	eV/atom
spin magnetization	0.0	μB per formula unit

Cell: 8.384 5.213 9.033 Å, 90.00 90.00 90.00°
Space group Amm2 (No. 38)
One atom of each set of equivalent atoms:
Li  0.000  0.000  0.000 x2
Mg  0.000  0.000  0.499 x2
Cu  0.000  0.248  0.247 x4
Cu  0.247  0.000  0.832 x4
Cu  0.252  0.000  0.330 x4
Cu  0.257  0.247  0.084 x8
Cu  0.500  0.000  0.498 x2
Cu  0.500  0.000  0.998 x2
Cu  0.500  0.249  0.751 x4